No. 1
A plane-wave DFT calculation with PBE was carried out for Na7PS6 after structural relaxation.

The structure belongs to space group Ibam (No. 72); the cell edges are 7.146, 13.429 and 14.847 Å and the angles 90.00°, 90.00° and 90.00°. Symmetry generates all atoms from Na at (0.000, 0.000, 0.250), Na at (0.126, 0.281, 0.110), Na at (0.210, 0.031, 0.000), P at (0.000, 0.500, 0.250), S at (0.090, 0.160, 0.500) and S at (0.170, 0.409, 0.326).

Its calculated total energy is -52.212 eV per formula unit.

No. 2
A plane-wave DFT calculation with PBE was carried out for Na3PS4 after structural relaxation.

The structure belongs to space group Pnma (No. 62); the cell edges are 8.732, 9.540 and 9.065 Å and the angles 90.00°, 90.00° and 90.00°. Symmetry generates all atoms from Na at (0.098, 0.250, 0.065), Na at (0.109, 0.547, 0.300), P at (0.201, 0.250, 0.521), S at (0.016, 0.250, 0.380), S at (0.124, 0.250, 0.736) and S at (0.166, 0.575, 0.986).

Its calculated total energy is -32.825 eV per formula unit.